Density functional theory data (GGA+U) for FeTeN2O after structural relaxation.

a b c (Å): 3.9777 3.9777 3.9468
angles (deg): 90.00 90.00 90.00
Closest atoms and distances in Å follow each position.
Sites, in units of the cell vectors:
N 0.0000 0.5000 0.0000  2 Te 1.99
N 0.5000 0.0000 0.0000  2 Te 1.99
Te 0.0000 0.0000 0.0000  2 O 1.97, 4 N 1.99
Fe 0.5000 0.5000 0.5000  8 N 2.80, 4 O 2.81
O 0.0000 0.0000 0.5000  2 Te 1.97

## Properties
- DOS at the Fermi energy (states/eV/atom) = 0.94
- E (eV per atom) = -5.0632